1.
## SrLiZr2 (GGA-PBE)

Data for a relaxed structure of SrLiZr2.

The structure in CIF format:
```
data_SrLiZr2
_chemical_formula_sum 'Sr1 Li1 Zr2'
_space_group_name_H-M_alt 'P 1'
_space_group_IT_number 1
_cell_length_a 3.377
_cell_length_b 3.377
_cell_length_c 9.601
_cell_angle_alpha 90.00
_cell_angle_beta 90.00
_cell_angle_gamma 90.00
loop_
_space_group_symop_operation_xyz
'x,y,z'
loop_
_atom_site_label
_atom_site_type_symbol
_atom_site_fract_x
_atom_site_fract_y
_atom_site_fract_z
_atom_site_occupancy
Sr1 Sr 0.000 0.000 0.000 1
Li1 Li 0.500 0.500 0.274 1
Zr1 Zr 0.000 0.000 0.491 1
Zr2 Zr 0.500 0.500 0.694 1
```

Computed properties:
DFT total energy, eV per atom: -4.92
Symmetry: P4mm (99)
Energy above the most stable polymorph in this dataset, eV per atom: 0.000
ΔH_f (0 K), meV per atom: 256

***

2.
## TlCuO3 (GGA-PBE)

Data for a relaxed structure of TlCuO3.

The structure in CIF format:
```
data_TlCuO3
_chemical_formula_sum 'Tl1 Cu1 O3'
_space_group_name_H-M_alt 'P 1'
_space_group_IT_number 1
_cell_length_a 4.162
_cell_length_b 4.162
_cell_length_c 4.162
_cell_angle_alpha 90.00
_cell_angle_beta 90.00
_cell_angle_gamma 90.00
loop_
_space_group_symop_operation_xyz
'x,y,z'
loop_
_atom_site_label
_atom_site_type_symbol
_atom_site_fract_x
_atom_site_fract_y
_atom_site_fract_z
_atom_site_occupancy
Tl1 Tl 0.000 0.000 0.000 1
Cu1 Cu 0.500 0.500 0.500 1
O1 O 0.000 0.000 0.500 1
O2 O 0.000 0.500 0.000 1
O3 O 0.500 0.000 0.000 1
```

Computed properties:
Energy relative to the elements, uncorrected, meV per atom: 548
DFT total energy, eV per atom: -3.72
Symmetry: Pm-3m (221)

***

3.
## Dy2MgScO (GGA-PBE)

Data for a relaxed structure of Dy2MgScO.

The structure in CIF format:
```
data_Dy2MgScO
_chemical_formula_sum 'Dy2 Mg1 Sc1 O1'
_space_group_name_H-M_alt 'P 1'
_space_group_IT_number 1
_cell_length_a 4.882
_cell_length_b 4.882
_cell_length_c 4.420
_cell_angle_alpha 90.00
_cell_angle_beta 90.00
_cell_angle_gamma 90.00
loop_
_space_group_symop_operation_xyz
'x,y,z'
loop_
_atom_site_label
_atom_site_type_symbol
_atom_site_fract_x
_atom_site_fract_y
_atom_site_fract_z
_atom_site_occupancy
Dy1 Dy 0.000 0.500 0.000 1
Dy2 Dy 0.500 0.000 0.000 1
Mg1 Mg 0.000 0.000 0.500 1
Sc1 Sc 0.500 0.500 0.500 1
O1 O 0.500 0.500 0.000 1
```

Computed properties:
Energy relative to the elements, uncorrected, meV per atom: -1202
DFT total energy, eV per atom: -5.62
Symmetry: P4/mmm (123)

***

4.
## YPa2Pb9 (GGA-PBE)

Data for a relaxed structure of YPa2Pb9.

The structure in CIF format:
```
data_YPa2Pb9
_chemical_formula_sum 'Y1 Pa2 Pb9'
_space_group_name_H-M_alt 'P 1'
_space_group_IT_number 1
_cell_length_a 4.826
_cell_length_b 4.826
_cell_length_c 14.571
_cell_angle_alpha 90.00
_cell_angle_beta 90.00
_cell_angle_gamma 90.00
loop_
_space_group_symop_operation_xyz
'x,y,z'
loop_
_atom_site_label
_atom_site_type_symbol
_atom_site_fract_x
_atom_site_fract_y
_atom_site_fract_z
_atom_site_occupancy
Y1 Y 0.000 0.000 0.000 1
Pa1 Pa 0.000 0.000 0.339 1
Pa2 Pa 0.000 0.000 0.661 1
Pb1 Pb 0.000 0.500 0.169 1
Pb2 Pb 0.000 0.500 0.500 1
Pb3 Pb 0.000 0.500 0.831 1
Pb4 Pb 0.500 0.000 0.169 1
Pb5 Pb 0.500 0.000 0.500 1
Pb6 Pb 0.500 0.000 0.831 1
Pb7 Pb 0.500 0.500 0.000 1
Pb8 Pb 0.500 0.500 0.334 1
Pb9 Pb 0.500 0.500 0.666 1
```

Computed properties:
DFT total energy, eV per atom: -5.00
Symmetry: P4/mmm (123)
ΔH_f (0 K), meV per atom: -93

***

5.
## Ac4Sm3DySe8 (GGA-PBE)

Data for a relaxed structure of Ac4Sm3DySe8.

The structure in CIF format:
```
data_Ac4Sm3DySe8
_chemical_formula_sum 'Ac4 Sm3 Dy1 Se8'
_space_group_name_H-M_alt 'P 1'
_space_group_IT_number 1
_cell_length_a 8.699
_cell_length_b 8.699
_cell_length_c 8.699
_cell_angle_alpha 58.72
_cell_angle_beta 58.72
_cell_angle_gamma 58.72
loop_
_space_group_symop_operation_xyz
'x,y,z'
loop_
_atom_site_label
_atom_site_type_symbol
_atom_site_fract_x
_atom_site_fract_y
_atom_site_fract_z
_atom_site_occupancy
Ac1 Ac 0.000 0.000 0.000 1
Ac2 Ac 0.000 0.500 0.500 1
Ac3 Ac 0.500 0.000 0.500 1
Ac4 Ac 0.500 0.500 0.000 1
Sm1 Sm 0.000 0.000 0.500 1
Sm2 Sm 0.000 0.500 0.000 1
Sm3 Sm 0.500 0.000 0.000 1
Dy1 Dy 0.500 0.500 0.500 1
Se1 Se 0.243 0.243 0.243 1
Se2 Se 0.247 0.740 0.740 1
Se3 Se 0.260 0.260 0.753 1
Se4 Se 0.260 0.753 0.260 1
Se5 Se 0.740 0.247 0.740 1
Se6 Se 0.740 0.740 0.247 1
Se7 Se 0.753 0.260 0.260 1
Se8 Se 0.757 0.757 0.757 1
```

Computed properties:
Energy relative to the elements, uncorrected, meV per atom: -1822
DFT total energy, eV per atom: -5.76
Symmetry: R-3m (166)

***

6.
## Er5TmHg4 (GGA-PBE)

Data for a relaxed structure of Er5TmHg4.

The structure in CIF format:
```
data_Er5TmHg4
_chemical_formula_sum 'Er5 Tm1 Hg4'
_space_group_name_H-M_alt 'P 1'
_space_group_IT_number 1
_cell_length_a 3.633
_cell_length_b 3.633
_cell_length_c 20.006
_cell_angle_alpha 90.00
_cell_angle_beta 90.00
_cell_angle_gamma 90.00
loop_
_space_group_symop_operation_xyz
'x,y,z'
loop_
_atom_site_label
_atom_site_type_symbol
_atom_site_fract_x
_atom_site_fract_y
_atom_site_fract_z
_atom_site_occupancy
Er1 Er 0.000 0.000 0.000 1
Er2 Er 0.000 0.000 0.188 1
Er3 Er 0.000 0.000 0.379 1
Er4 Er 0.000 0.000 0.621 1
Er5 Er 0.000 0.000 0.812 1
Tm1 Tm 0.500 0.500 0.500 1
Hg1 Hg 0.500 0.500 0.095 1
Hg2 Hg 0.500 0.500 0.285 1
Hg3 Hg 0.500 0.500 0.715 1
Hg4 Hg 0.500 0.500 0.905 1
```

Computed properties:
DFT total energy, eV per atom: -3.22
Symmetry: P4/mmm (123)
ΔH_f (0 K), meV per atom: -369

***

We obtain Fermi-level density of states values of 3.46 8.85 4.62 13.10 9.20 10.46 states/eV per cell for the records listed above, in that order.